[1]
A plane-wave DFT calculation with PBE-GGA was carried out for an optimized crystal structure of CoBiWAu.

Computed properties:
- E above lowest polymorph (meV/atom) = 132
- VASP energy (eV/cell) = -23.61
- magnetic moment (μB/f.u.) = 1.0
- V (Å³/cell) = 72.6

The structure in POSCAR format:
```
CoBiWAu
1.0
0.0000 3.3114 3.3114
3.3114 0.0000 3.3114
3.3114 3.3114 0.0000
Au Bi Co W
1 1 1 1
direct
0.2500 0.2500 0.2500
0.0000 0.0000 0.0000
0.7500 0.7500 0.7500
0.5000 0.5000 0.5000
```

---

[2]
A plane-wave DFT calculation with PBE-GGA was carried out for an optimized crystal structure of Si2Pt.

Computed properties:
- VASP energy (eV/cell) = -31.68
- magnetic moment (μB/f.u.) = 0.0
- V (Å³/cell) = 89.6

The structure in POSCAR format:
```
Si2Pt
1.0
-2.9456 -3.4950 2.0826
-4.3475 1.3279 2.1365
-4.3517 -1.2405 -2.1800
Pt Si
2 4
direct
0.0000 0.0000 0.0000
0.2500 0.2500 0.2500
0.6250 0.6250 0.1250
0.6250 0.1250 0.6250
0.1250 0.6250 0.6250
0.6250 0.6250 0.6250
```

---

[3]
A plane-wave DFT calculation with PBE-GGA was carried out for an optimized crystal structure of GdZn.

Computed properties:
- E above lowest polymorph (meV/atom) = 124
- VASP energy (eV/cell) = -38.08
- formation energy from the elements (eV per atom) = -0.21
- magnetic moment (μB/f.u.) = 0.0
- V (Å³/cell) = 281.0

The structure in POSCAR format:
```
GdZn
1.0
-4.1047 -4.5287 -1.2868
6.4001 -6.4078 2.1334
-1.4899 0.0434 4.6000
Gd Zn
6 6
direct
0.4837 0.2039 0.0000
0.9836 0.6295 0.0000
0.8684 0.0644 0.5000
0.1939 0.3870 0.5000
0.6940 0.4463 0.5000
0.3683 0.7689 0.5000
0.9517 0.2758 0.0000
0.4515 0.5577 0.0000
0.6513 0.8822 0.0000
0.1513 0.9513 0.0000
0.3512 0.0734 0.5000
0.8510 0.7598 0.5000
```

---

[4]
A plane-wave DFT calculation with PBE-GGA was carried out for an optimized crystal structure of ZrNb.

Computed properties:
- VASP energy (eV/cell) = -73.78
- formation energy from the elements (eV per atom) = 0.10
- magnetic moment (μB/f.u.) = 0.0
- V (Å³/cell) = 161.8

The structure in POSCAR format:
```
ZrNb
1.0
4.8621 0.0000 0.0000
0.0000 6.8554 0.0000
0.0000 0.0000 4.8556
Nb Zr
4 4
direct
0.9169 0.4992 0.0000
0.4169 0.7508 0.0000
0.9164 0.2508 0.5000
0.4164 0.9992 0.5000
0.9173 0.0006 0.0000
0.4173 0.2494 0.0000
0.4160 0.5006 0.5000
0.9160 0.7494 0.5000
```

---

[5]
A plane-wave DFT calculation with PBE-GGA was carried out for an optimized crystal structure of LiFeReB.

Computed properties:
- E above lowest polymorph (meV/atom) = 69
- VASP energy (eV/cell) = -27.64
- magnetic moment (μB/f.u.) = 2.4
- V (Å³/cell) = 40.5

The structure in POSCAR format:
```
LiFeReB
1.0
0.4342 0.0184 3.8299
-3.0973 0.1386 2.2900
-1.0072 -3.0924 2.0687
B Fe Li Re
1 1 1 1
direct
0.0000 0.0000 0.0000
0.7500 0.7500 0.7500
0.5000 0.5000 0.5000
0.2500 0.2500 0.2500
```

---

[6]
A plane-wave DFT calculation with PBE-GGA was carried out for an optimized crystal structure of KSmZnTe3.

Computed properties:
- E above lowest polymorph (meV/atom) = 122
- VASP energy (eV/cell) = -89.10
- magnetic moment (μB/f.u.) = 0.0
- V (Å³/cell) = 772.4

The structure in POSCAR format:
```
KSmZnTe3
1.0
-8.6476 3.5757 0.9129
-0.6448 -2.5361 3.8251
6.5057 13.2165 9.8595
K Sm Te Zn
4 4 12 4
direct
0.5741 0.2500 0.2070
0.0741 0.2500 0.2930
0.9259 0.7500 0.7070
0.4259 0.7500 0.7930
0.2457 0.7500 0.0491
0.7457 0.7500 0.4509
0.2543 0.2500 0.5491
0.7543 0.2500 0.9509
0.6324 0.7500 0.0501
0.9938 0.2500 0.0854
0.3039 0.7500 0.2154
0.8039 0.7500 0.2846
0.4938 0.2500 0.4146
0.1324 0.7500 0.4499
0.8676 0.2500 0.5501
0.5062 0.7500 0.5854
0.1961 0.2500 0.7154
0.6961 0.2500 0.7846
0.0062 0.7500 0.9146
0.3676 0.2500 0.9499
0.8677 0.7500 0.1405
0.3677 0.7500 0.3595
0.6323 0.2500 0.6405
0.1323 0.2500 0.8595
```

---

[7]
A plane-wave DFT calculation with PBE-GGA was carried out for an optimized crystal structure of Nd3HfSe.

Computed properties:
- VASP energy (eV/cell) = -28.51
- magnetic moment (μB/f.u.) = 0.4
- V (Å³/cell) = 169.1

The structure in POSCAR format:
```
Nd3HfSe
1.0
5.5300 0.0000 0.0000
0.0000 5.5300 0.0000
0.0000 0.0000 5.5300
Hf Nd Se
1 3 1
direct
0.0000 0.0000 0.0000
0.5000 0.5000 0.0000
0.5000 0.0000 0.5000
0.0000 0.5000 0.5000
0.5000 0.5000 0.5000
```

---

[8]
A plane-wave DFT calculation with PBE-GGA was carried out for an optimized crystal structure of ZnCoTcHg.

Computed properties:
- E above lowest polymorph (meV/atom) = 4
- VASP energy (eV/cell) = -16.95
- formation energy from the elements (eV per atom) = 0.52
- magnetic moment (μB/f.u.) = 2.3
- V (Å³/cell) = 61.3

The structure in POSCAR format:
```
ZnCoTcHg
1.0
0.0000 3.1302 3.1302
3.1302 0.0000 3.1302
3.1302 3.1302 0.0000
Co Hg Tc Zn
1 1 1 1
direct
0.7500 0.7500 0.7500
0.2500 0.2500 0.2500
0.5000 0.5000 0.5000
0.0000 0.0000 0.0000
```

---

[9]
A plane-wave DFT calculation with PBE-GGA was carried out for an optimized crystal structure of SrMgSi2Ag.

Computed properties:
- VASP energy (eV/cell) = -18.67
- V (Å³/cell) = 105.4

The structure in POSCAR format:
```
SrMgSi2Ag
1.0
2.6656 -2.3166 5.2373
5.1217 2.6812 2.5456
-5.7037 1.6368 -2.1655
Ag Mg Si Sr
1 1 2 1
direct
0.2500 0.7500 0.5000
0.7500 0.2500 0.5000
0.1071 0.1071 0.0000
0.8929 0.8929 0.0000
0.5000 0.5000 0.0000
```

---

[10]
A plane-wave DFT calculation with PBE-GGA was carried out for an optimized crystal structure of Dy2TmGa3CuGe2.

Computed properties:
- VASP energy (eV/cell) = -41.52
- magnetic moment (μB/f.u.) = 0.0
- V (Å³/cell) = 176.3

The structure in POSCAR format:
```
Dy2TmGa3CuGe2
1.0
-2.7886 1.7210 -2.5182
-1.6845 -6.3427 -2.4693
-3.4090 2.5969 5.5498
Cu Dy Ga Ge Tm
1 2 3 2 1
direct
0.0000 0.0033 0.0033
0.0000 0.9992 0.5979
0.0000 0.5979 0.9992
0.5000 0.2351 0.0005
0.5000 0.0005 0.2351
0.5000 0.7650 0.7650
0.5000 0.6640 0.3339
0.5000 0.3339 0.6640
0.0000 0.4011 0.4011
```

---

[11]
A plane-wave DFT calculation with PBE-GGA was carried out for an optimized crystal structure of NdPaN2.

Computed properties:
- VASP energy (eV/cell) = -37.22
- magnetic moment (μB/f.u.) = 0.0
- V (Å³/cell) = 63.8

The structure in POSCAR format:
```
NdPaN2
1.0
1.7802 1.0278 5.8153
-1.7802 1.0278 5.8153
0.0000 -2.0556 5.8153
N Nd Pa
2 1 1
direct
0.2634 0.2634 0.2634
0.7366 0.7366 0.7366
0.5000 0.5000 0.5000
0.0000 0.0000 0.0000
```

---

[12]
A plane-wave DFT calculation with PBE-GGA was carried out for an optimized crystal structure of TePt15.

Computed properties:
- E above lowest polymorph (meV/atom) = 19
- VASP energy (eV/cell) = -186.36
- magnetic moment (μB/f.u.) = 0.0
- V (Å³/cell) = 771.1

The structure in POSCAR format:
```
TePt15
1.0
-2.0028 -4.4876 2.6351
3.5045 -0.5293 1.7621
-10.3024 20.2166 26.5636
Pt Te
30 2
direct
0.3767 0.5000 0.1997
0.1249 0.0000 0.2348
0.6246 0.0000 0.2353
0.8748 0.5000 0.2778
0.3744 0.5000 0.2792
0.1238 0.0000 0.3188
0.6256 0.0000 0.3190
0.8748 0.5000 0.3591
0.3748 0.5000 0.3592
0.1242 0.0000 0.3995
0.6255 0.0000 0.3996
0.3750 0.5000 0.4395
0.8748 0.5000 0.4398
0.1251 0.0000 0.4797
0.6248 0.0000 0.4800
0.3751 0.5000 0.5200
0.8749 0.5000 0.5203
0.1252 0.0000 0.5602
0.6250 0.0000 0.5605
0.3746 0.5000 0.6004
0.8758 0.5000 0.6005
0.6252 0.0000 0.6408
0.1252 0.0000 0.6409
0.3743 0.5000 0.6810
0.8763 0.5000 0.6812
0.6257 0.0000 0.7208
0.1252 0.0000 0.7222
0.3755 0.5000 0.7647
0.8751 0.5000 0.7652
0.6233 0.0000 0.8002
0.8756 0.5000 0.1972
0.1244 0.0000 0.8028
```

---

[13]
A plane-wave DFT calculation with PBE-GGA was carried out for an optimized crystal structure of Sm5Zr3Ni16As12.

Computed properties:
- VASP energy (eV/cell) = -224.67
- magnetic moment (μB/f.u.) = 0.0
- V (Å³/cell) = 563.4

The structure in POSCAR format:
```
Sm5Zr3Ni16As12
1.0
-7.8083 2.0232 9.9564
6.5502 -10.9781 -0.8776
2.9959 1.6261 2.0191
As Ni Sm Zr
12 16 5 3
direct
0.3596 0.0000 0.0000
0.8205 0.0000 0.0000
0.1795 0.1795 0.0000
0.0000 0.3596 0.0000
0.6404 0.6404 0.0000
0.0000 0.8205 0.0000
0.6951 0.1721 0.5000
0.4770 0.3049 0.5000
0.3049 0.4770 0.5000
0.8279 0.5230 0.5000
0.1721 0.6951 0.5000
0.5230 0.8279 0.5000
0.0000 0.0000 0.0000
0.8073 0.1853 0.0000
0.3781 0.1927 0.0000
0.1927 0.3781 0.0000
0.8147 0.6220 0.0000
0.1853 0.8073 0.0000
0.6220 0.8147 0.0000
0.7242 0.0000 0.5000
0.4838 0.1197 0.5000
0.2758 0.2758 0.5000
0.8803 0.3641 0.5000
0.1197 0.4838 0.5000
0.6359 0.5162 0.5000
0.5162 0.6359 0.5000
0.0000 0.7242 0.5000
0.3641 0.8803 0.5000
0.6667 0.3334 0.0000
0.3334 0.6667 0.0000
0.1860 0.0000 0.5000
0.0000 0.1860 0.5000
0.8140 0.8140 0.5000
0.5668 0.0000 0.0000
0.4332 0.4332 0.0000
0.0000 0.5668 0.0000
```

---

[14]
A plane-wave DFT calculation with PBE-GGA was carried out for an optimized crystal structure of TmSnIr.

Computed properties:
- VASP energy (eV/cell) = -35.93
- magnetic moment (μB/f.u.) = 0.0
- V (Å³/cell) = 123.3

The structure in POSCAR format:
```
TmSnIr
1.0
-2.2230 -1.5072 -4.0998
4.6034 -1.3919 0.9453
-2.0323 -4.7797 2.8591
Ir Sn Tm
2 2 2
direct
0.0000 0.0000 0.0000
0.0000 0.0000 0.5000
0.3333 0.6667 0.2500
0.6667 0.3333 0.7500
0.6667 0.3333 0.2500
0.3333 0.6667 0.7500
```

---

[15]
A plane-wave DFT calculation with PBE-GGA was carried out for an optimized crystal structure of HfZrCoAs.

Computed properties:
- E above lowest polymorph (meV/atom) = 0
- VASP energy (eV/cell) = -29.76
- magnetic moment (μB/f.u.) = 1.1
- V (Å³/cell) = 68.1

The structure in POSCAR format:
```
HfZrCoAs
1.0
-2.4141 -1.9445 3.3767
-4.5653 -0.2718 -0.3091
-2.0140 -4.0630 -0.6684
As Co Hf Zr
1 1 1 1
direct
0.0000 0.0000 0.0000
0.7500 0.7500 0.7500
0.5000 0.5000 0.5000
0.2500 0.2500 0.2500
```

---

[16]
A plane-wave DFT calculation with PBE-GGA was carried out for an optimized crystal structure of Na2PdSe2.

Computed properties:
- VASP energy (eV/cell) = -37.70
- V (Å³/cell) = 224.6

The structure in POSCAR format:
```
Na2PdSe2
1.0
-5.5631 0.8405 0.6964
3.8353 -1.3376 -3.9548
-1.3531 -10.9329 2.3856
Na Pd Se
4 2 4
direct
0.5637 0.4363 0.1291
0.1744 0.8256 0.4036
0.4363 0.5637 0.6291
0.8256 0.1744 0.9036
0.8641 0.1359 0.2492
0.1359 0.8641 0.7492
0.2781 0.7219 0.1257
0.4522 0.5478 0.3705
0.7219 0.2781 0.6257
0.5478 0.4522 0.8705
```

---

[17]
A plane-wave DFT calculation with PBE-GGA was carried out for an optimized crystal structure of Pr3Ni2Sn7.

Computed properties:
- VASP energy (eV/cell) = -60.59
- magnetic moment (μB/f.u.) = 0.0
- V (Å³/cell) = 295.4

The structure in POSCAR format:
```
Pr3Ni2Sn7
1.0
2.3161 -13.8432 0.0000
2.3161 13.8432 0.0000
0.0000 0.0000 4.6060
Ni Pr Sn
2 3 7
direct
0.6284 0.3716 0.5000
0.3716 0.6284 0.5000
0.8149 0.1851 0.0000
0.1851 0.8149 0.0000
0.5000 0.5000 0.5000
0.0000 0.0000 0.0000
0.5899 0.4101 0.0000
0.4101 0.5899 0.0000
0.9096 0.0904 0.5000
0.7185 0.2815 0.5000
0.2815 0.7185 0.5000
0.0904 0.9096 0.5000
```

---

[18]
A plane-wave DFT calculation with PBE-GGA was carried out for an optimized crystal structure of RbPrTmTe3.

Computed properties:
- E above lowest polymorph (meV/atom) = 3
- VASP energy (eV/cell) = -54.15
- magnetic moment (μB/f.u.) = 0.0
- V (Å³/cell) = 489.1

The structure in POSCAR format:
```
RbPrTmTe3
1.0
2.3863 -8.3899 0.0000
2.3863 8.3899 0.0000
0.0000 0.0000 12.2139
Pr Rb Te Tm
2 2 6 2
direct
0.5000 0.5000 0.0000
0.5000 0.5000 0.5000
0.2438 0.7562 0.2500
0.7562 0.2438 0.7500
0.8700 0.1300 0.0536
0.5673 0.4327 0.2500
0.8700 0.1300 0.4464
0.1300 0.8700 0.5536
0.4327 0.5673 0.7500
0.1300 0.8700 0.9464
0.9651 0.0349 0.2500
0.0349 0.9651 0.7500
```

---

[19]
A plane-wave DFT calculation with PBE-GGA was carried out for an optimized crystal structure of HfSiIr2.

Computed properties:
- VASP energy (eV/cell) = -34.01
- magnetic moment (μB/f.u.) = 0.0
- V (Å³/cell) = 63.6

The structure in POSCAR format:
```
HfSiIr2
1.0
1.7393 -3.4953 -2.1961
-0.1591 -4.0911 1.8172
-2.7011 -3.1205 -1.7410
Hf Ir Si
1 2 1
direct
0.2500 0.2500 0.2500
0.0000 0.0000 0.0000
0.7500 0.7500 0.7500
0.5000 0.5000 0.5000
```

---

[20]
A plane-wave DFT calculation with PBE-GGA was carried out for an optimized crystal structure of AgAs3O8.

Computed properties:
- VASP energy (eV/cell) = -67.43
- V (Å³/cell) = 151.0

The structure in POSCAR format:
```
AgAs3O8
1.0
-2.2430 4.2530 0.5010
-2.7621 1.0934 -3.8139
-5.3925 -3.2568 3.0335
Ag As O
1 3 8
direct
0.0000 0.0000 0.0000
0.6429 0.6429 0.2798
0.0000 0.0000 0.5000
0.3571 0.3571 0.7202
0.7160 0.7160 0.0601
0.7666 0.2503 0.3082
0.2503 0.7666 0.3082
0.7706 0.7706 0.4833
0.2294 0.2294 0.5167
0.7497 0.2334 0.6918
0.2334 0.7497 0.6918
0.2840 0.2840 0.9399
```

---

[21]
A plane-wave DFT calculation with PBE-GGA was carried out for an optimized crystal structure of Rb2AgSbCl6.

Computed properties:
- E above lowest polymorph (meV/atom) = 21
- VASP energy (eV/cell) = -64.74
- V (Å³/cell) = 609.4

The structure in POSCAR format:
```
Rb2AgSbCl6
1.0
3.7204 2.1480 12.7093
-3.7204 2.1480 12.7093
0.0000 -4.2960 12.7093
Ag Cl Rb Sb
2 12 4 2
direct
0.4155 0.4155 0.4155
0.5845 0.5845 0.5845
0.6311 0.6311 0.1177
0.7084 0.2069 0.2069
0.2069 0.7084 0.2069
0.7931 0.7931 0.2916
0.3689 0.8823 0.3689
0.8823 0.3689 0.3689
0.1177 0.6311 0.6311
0.6311 0.1177 0.6311
0.2069 0.2069 0.7084
0.7931 0.2916 0.7931
0.2916 0.7931 0.7931
0.3689 0.3689 0.8823
0.1247 0.1247 0.1247
0.2924 0.2924 0.2924
0.7076 0.7076 0.7076
0.8753 0.8753 0.8753
0.0000 0.0000 0.0000
0.5000 0.5000 0.5000
```